1.
The following is a PBE calculation of TbMgNi5Ge2 after structural relaxation, from the Alexandria database.

Cell lengths 3.967, 3.967, 8.613 Å; angles 90.00, 90.00, 90.00 degrees
Space group P4/mmm (No. 123)
Symmetry-distinct sites (fractional):
Tb  0.000  0.000  0.000 x1
Mg  0.000  0.000  0.500 x1
Ni  0.000  0.500  0.222 x4
Ni  0.500  0.500  0.000 x1
Ge  0.500  0.500  0.358 x2

Values from the calculation:
The raw total energy is -5.193 eV/atom. As for the magnetization: 0.00 μB/cell.


2.
The following is a PBE calculation of Tb2MgNi3Ge4 after structural relaxation, from the Alexandria database.

Cell lengths 4.082, 4.082, 10.340 Å; angles 90.00, 90.00, 90.00 degrees
Space group P-4m2 (No. 115)
Symmetry-distinct sites (fractional):
Tb  0.000  0.500  0.236 x2
Mg  0.000  0.000  0.500 x1
Ni  0.000  0.500  0.880 x2
Ni  0.500  0.500  0.500 x1
Ge  0.000  0.000  0.000 x1
Ge  0.000  0.500  0.654 x2
Ge  0.500  0.500  0.000 x1

Values from the calculation:
The raw total energy is -5.303 eV/atom. As for the magnetization: 0.00 μB/cell.


3.
The following is a PBE calculation of Tb2MgNi4Ge3 after structural relaxation, from the Alexandria database.

Cell lengths 4.077, 4.077, 9.977 Å; angles 90.00, 90.00, 90.00 degrees
Space group P-4m2 (No. 115)
Symmetry-distinct sites (fractional):
Tb  0.000  0.500  0.239 x2
Mg  0.000  0.000  0.500 x1
Ni  0.000  0.000  0.000 x1
Ni  0.000  0.500  0.642 x2
Ni  0.500  0.500  0.000 x1
Ge  0.000  0.500  0.874 x2
Ge  0.500  0.500  0.500 x1

Values from the calculation:
The raw total energy is -5.398 eV/atom. As for the magnetization: 0.00 μB/cell.


4.
The following is a PBE calculation of Mg2NiGeTe after structural relaxation, from the Alexandria database.

Cell lengths 5.254, 5.254, 5.593 Å; angles 90.00, 90.00, 90.00 degrees
Space group P4/mmm (No. 123)
Symmetry-distinct sites (fractional):
Mg  0.000  0.500  0.000 x2
Ni  0.000  0.000  0.500 x1
Ge  0.500  0.500  0.500 x1
Te  0.500  0.500  0.000 x1

Values from the calculation:
The raw total energy is -2.358 eV/atom. As for the magnetization: 0.71 μB/cell. The calculation puts the uncorrected formation energy at 0.99 eV per atom.